Record 1
Np3Si4Ru7: optimized geometry, PBE-GGA.

Cell and atoms, written as CIF:
```
data_Np3Si4Ru7
_cell_length_a 15.2150
_cell_length_b 4.0230
_cell_length_c 9.1647
_cell_angle_alpha 90.00
_cell_angle_beta 126.54
_cell_angle_gamma 90.00
_space_group_name_H-M_alt 'C 1 2/m 1'
_space_group_IT_number 12
loop_
_space_group_symop_operation_xyz
'x,y,z'
'-x,-y,-z'
'-x,y,-z'
'x,-y,z'
'x+1/2,y+1/2,z'
'-x+1/2,-y+1/2,-z'
'-x+1/2,y+1/2,-z'
'x+1/2,-y+1/2,z'
loop_
_atom_site_label
_atom_site_type_symbol
_atom_site_fract_x
_atom_site_fract_y
_atom_site_fract_z
_atom_site_occupancy
Np1 Np 0.0000 0.0000 0.0000 1
Np2 Np 0.1761 0.5000 0.6767 1
Si1 Si 0.1142 0.0000 0.3835 1
Si2 Si 0.1599 0.5000 0.0420 1
Ru1 Ru 0.0000 0.0000 0.5000 1
Ru2 Ru 0.0051 0.5000 0.7212 1
Ru3 Ru 0.1602 0.0000 0.8912 1
Ru4 Ru 0.1979 0.5000 0.3420 1
```

Results
The formation energy without anion corrections comes out at -427 meV per atom.

***

Record 2
Np2Si2SnRu5: optimized geometry, PBE-GGA.

Cell and atoms, written as CIF:
```
data_Np2Si2SnRu5
_cell_length_a 9.9753
_cell_length_b 9.9753
_cell_length_c 3.3580
_cell_angle_alpha 90.00
_cell_angle_beta 90.00
_cell_angle_gamma 90.00
_space_group_name_H-M_alt 'P 4/m b m'
_space_group_IT_number 127
_space_group_name_Hall '-P 4 2ab'
loop_
_atom_site_label
_atom_site_type_symbol
_atom_site_fract_x
_atom_site_fract_y
_atom_site_fract_z
_atom_site_occupancy
Np1 Np 0.1748 0.3252 0.0000 1
Si1 Si 0.1232 0.6232 0.0000 1
Sn1 Sn 0.0000 0.0000 0.0000 1
Ru1 Ru 0.0000 0.5000 0.5000 1
Ru2 Ru 0.0700 0.7863 0.5000 1
```

Results
The formation energy without anion corrections comes out at -361 meV per atom.

***

Record 3
NpSiTcRu: optimized geometry, PBE-GGA.

Cell and atoms, written as CIF:
```
data_NpSiTcRu
_cell_length_a 6.3672
_cell_length_b 6.3672
_cell_length_c 6.3672
_cell_angle_alpha 90.00
_cell_angle_beta 90.00
_cell_angle_gamma 90.00
_space_group_name_H-M_alt 'F -4 3 m'
_space_group_IT_number 216
_space_group_name_Hall 'F -4 2 3'
loop_
_atom_site_label
_atom_site_type_symbol
_atom_site_fract_x
_atom_site_fract_y
_atom_site_fract_z
_atom_site_occupancy
Np1 Np 0.0000 0.0000 0.0000 1
Si1 Si 0.0000 0.0000 0.5000 1
Tc1 Tc 0.2500 0.2500 0.2500 1
Ru1 Ru 0.2500 0.2500 0.7500 1
```

Results
The formation energy without anion corrections comes out at -221 meV per atom.

***

Record 4
Np2VSi2Ru5: optimized geometry, PBE-GGA.

Cell and atoms, written as CIF:
```
data_Np2VSi2Ru5
_cell_length_a 10.1613
_cell_length_b 10.1613
_cell_length_c 3.0689
_cell_angle_alpha 90.00
_cell_angle_beta 90.00
_cell_angle_gamma 90.00
_space_group_name_H-M_alt 'P 4/m b m'
_space_group_IT_number 127
_space_group_name_Hall '-P 4 2ab'
loop_
_atom_site_label
_atom_site_type_symbol
_atom_site_fract_x
_atom_site_fract_y
_atom_site_fract_z
_atom_site_occupancy
Np1 Np 0.1754 0.3246 0.0000 1
V1 V 0.0000 0.0000 0.0000 1
Si1 Si 0.1290 0.6290 0.0000 1
Ru1 Ru 0.0000 0.5000 0.5000 1
Ru2 Ru 0.0579 0.7988 0.5000 1
```

Results
The formation energy without anion corrections comes out at -305 meV per atom.

***

Record 5
Np2ZnSi2Ru5: optimized geometry, PBE-GGA.

Cell and atoms, written as CIF:
```
data_Np2ZnSi2Ru5
_cell_length_a 9.8925
_cell_length_b 9.8925
_cell_length_c 3.2761
_cell_angle_alpha 90.00
_cell_angle_beta 90.00
_cell_angle_gamma 90.00
_space_group_name_H-M_alt 'P 4/m b m'
_space_group_IT_number 127
_space_group_name_Hall '-P 4 2ab'
loop_
_atom_site_label
_atom_site_type_symbol
_atom_site_fract_x
_atom_site_fract_y
_atom_site_fract_z
_atom_site_occupancy
Np1 Np 0.1734 0.3266 0.0000 1
Zn1 Zn 0.0000 0.0000 0.0000 1
Si1 Si 0.1274 0.6274 0.0000 1
Ru1 Ru 0.0000 0.5000 0.5000 1
Ru2 Ru 0.0664 0.7919 0.5000 1
```

Results
The formation energy without anion corrections comes out at -301 meV per atom.

***

Record 6
Sm3Np2Ru6: optimized geometry, PBE-GGA.

Cell and atoms, written as CIF:
```
data_Sm3Np2Ru6
_cell_length_a 9.5844
_cell_length_b 9.5844
_cell_length_c 9.5844
_cell_angle_alpha 90.00
_cell_angle_beta 90.00
_cell_angle_gamma 90.00
_space_group_name_H-M_alt 'I m -3 m'
_space_group_IT_number 229
_space_group_name_Hall '-I 4 2 3'
loop_
_atom_site_label
_atom_site_type_symbol
_atom_site_fract_x
_atom_site_fract_y
_atom_site_fract_z
_atom_site_occupancy
Sm1 Sm 0.0000 0.0000 0.2851 1
Np1 Np 0.2500 0.2500 0.2500 1
Ru1 Ru 0.0000 0.3474 0.3474 1
```

Results
The energy of formation from the pure elements is -3.974 kcal/mol of atoms.